1.
PmTmPaSn | PBE | relaxed

The calculation puts the energy of formation from the pure elements at 0.030 eV/atom. For the raw total energy, the calculation gives -5.650 eV per atom.

The structure belongs to space group F-43m (No. 216); the cell edges are 7.574, 7.574 and 7.574 Å and the angles 90.00°, 90.00° and 90.00°. The asymmetric unit holds Pm at (0.000, 0.000, 0.000), Tm at (0.000, 0.000, 0.500), Pa at (0.250, 0.250, 0.750) and Sn at (0.250, 0.250, 0.250).


2.
PmPaZnSn | PBE | relaxed

The calculation puts the energy of formation from the pure elements at -0.141 eV/atom. For the raw total energy, the calculation gives -5.021 eV per atom.

The structure belongs to space group F-43m (No. 216); the cell edges are 7.438, 7.438 and 7.438 Å and the angles 90.00°, 90.00° and 90.00°. The asymmetric unit holds Pm at (0.000, 0.000, 0.000), Pa at (0.000, 0.000, 0.500), Zn at (0.250, 0.250, 0.250) and Sn at (0.250, 0.250, 0.750).


3.
TbPmThPa | PBE | relaxed

The calculation puts the energy of formation from the pure elements at 0.367 eV/atom. For the raw total energy, the calculation gives -6.207 eV per atom.

The structure belongs to space group F-43m (No. 216); the cell edges are 7.877, 7.877 and 7.877 Å and the angles 90.00°, 90.00° and 90.00°. The asymmetric unit holds Tb at (0.000, 0.000, 0.000), Pm at (0.250, 0.250, 0.250), Th at (0.250, 0.250, 0.750) and Pa at (0.000, 0.000, 0.500).


4.
PmPaTc | PBE | relaxed

The calculation puts the energy of formation from the pure elements at 0.124 eV/atom. For the raw total energy, the calculation gives -8.081 eV per atom.

The structure belongs to space group P3m1 (No. 156); the cell edges are 3.9356, 3.9356 and 6.1613 Å and the angles 90.00°, 90.00° and 120.00°. The asymmetric unit holds Pm at (0.0000, 0.0000, 0.0000), Pa at (0.6667, 0.3333, 0.4885) and Tc at (0.3333, 0.6667, 0.6858).


Question: energy of formation from the pure elements of number 2 (PmPaZnSn)?
Answer: -0.141 eV/atom


Question: What is the energy of formation from the pure elements in the first record?
Answer: 0.030 eV/atom


Question: Number 3 is which compound?
Answer: TbPmThPa